Here is a relaxed structure of LiTb2Zn3Ga4 from Alexandria. Energies are from PBE.

Cell and atoms, written as POSCAR:
```
LiTb2Zn3Ga4
1.0
4.1794 0.0000 0.0000
0.0000 4.1794 0.0000
0.0000 0.0000 10.6496
Li Tb Zn Ga
1 2 3 4
direct
0.0000 0.0000 0.0000
0.0000 0.5000 0.7467
0.5000 0.0000 0.2533
0.0000 0.5000 0.3602
0.5000 0.0000 0.6398
0.5000 0.5000 0.0000
0.0000 0.0000 0.5000
0.0000 0.5000 0.1334
0.5000 0.0000 0.8666
0.5000 0.5000 0.5000
```

Properties
* formation enthalpy at 0 K: -4.2 eV per formula unit


Here is a relaxed structure of Zr2TeSe2 from Alexandria. Energies are from PBE.

Cell and atoms, written as POSCAR:
```
Zr2TeSe2
1.0
7.7965 0.0000 0.0000
0.0000 7.7965 0.0000
0.0000 0.0000 3.6028
Zr Te Se
4 2 4
direct
0.1440 0.3560 0.0000
0.3560 0.8560 0.0000
0.6440 0.1440 0.0000
0.8560 0.6440 0.0000
0.0000 0.0000 0.0000
0.5000 0.5000 0.0000
0.1378 0.6378 0.5000
0.3622 0.1378 0.5000
0.6378 0.8622 0.5000
0.8622 0.3622 0.5000
```

Properties
* formation energy (no corrections): -5.1 eV per formula unit


Here is a relaxed structure of KCuGe from Alexandria. Energies are from PBE.

Cell and atoms, written as POSCAR:
```
KCuGe
1.0
4.1444 0.0000 0.0000
-2.0722 3.5891 0.0000
0.0000 0.0000 5.4129
K Cu Ge
1 1 1
direct
0.0000 0.0000 0.0000
0.6667 0.3333 0.5000
0.3333 0.6667 0.5000
```

Properties
* formation enthalpy at 0 K: 0.3 eV per formula unit


Here is a relaxed structure of LaZrOs4 from Alexandria. Energies are from PBE.

Cell and atoms, written as POSCAR:
```
LaZrOs4
1.0
0.0000 3.7973 3.7973
3.7973 0.0000 3.7973
3.7973 3.7973 0.0000
La Zr Os
1 1 4
direct
0.0000 0.0000 0.0000
0.2500 0.2500 0.2500
0.1267 0.6244 0.6244
0.6244 0.1267 0.6244
0.6244 0.6244 0.1267
0.6244 0.6244 0.6244
```

Properties
* formation enthalpy at 0 K: -0.5 eV per formula unit


Here is a relaxed structure of NdSmY2 from Alexandria. Energies are from PBE.

Cell and atoms, written as POSCAR:
```
NdSmY2
1.0
1.8174 1.0493 11.6797
-1.8174 1.0493 11.6797
0.0000 -2.0985 11.6797
Nd Sm Y
1 1 2
direct
0.0000 0.0000 0.0000
0.1661 0.1661 0.1661
0.4169 0.4169 0.4169
0.5830 0.5830 0.5830
```

Properties
* formation enthalpy at 0 K: 0.0 eV per formula unit


Here is a relaxed structure of ScTi2F2 from Alexandria. Energies are from PBE.

Cell and atoms, written as POSCAR:
```
ScTi2F2
1.0
-1.8497 1.8497 5.4289
1.8497 -1.8497 5.4289
1.8497 1.8497 -5.4289
Sc Ti F
1 2 2
direct
0.0000 0.0000 0.0000
0.2500 0.7500 0.5000
0.7500 0.2500 0.5000
0.3785 0.3785 0.0000
0.6215 0.6215 0.0000
```

Properties
* formation energy (no corrections): -5.1 eV per formula unit


Here is a relaxed structure of HfSc2Cr from Alexandria. Energies are from PBE.

Cell and atoms, written as POSCAR:
```
HfSc2Cr
1.0
-3.8587 3.8587 2.8874
3.8587 -3.8587 2.8874
3.8587 3.8587 -2.8874
Hf Sc Cr
2 4 2
direct
0.0000 0.0000 0.0000
0.7500 0.2500 0.5000
0.1670 0.1250 0.5420
0.3750 0.8330 0.9580
0.5830 0.6250 0.4580
0.8750 0.4170 0.0420
0.2500 0.7500 0.5000
0.5000 0.5000 0.0000
```

Properties
* formation enthalpy at 0 K: 2.2 eV per formula unit


Here is a relaxed structure of Ac2DyAs2Se2 from Alexandria. Energies are from PBE.

Cell and atoms, written as POSCAR:
```
Ac2DyAs2Se2
1.0
-2.6408 2.6408 7.9661
2.6408 -2.6408 7.9661
2.6408 2.6408 -7.9661
Ac Dy As Se
2 1 2 2
direct
0.1310 0.1310 0.0000
0.8690 0.8690 0.0000
0.5000 0.5000 0.0000
0.0000 0.5000 0.5000
0.5000 0.0000 0.5000
0.3195 0.3195 0.0000
0.6805 0.6805 0.0000
```

Properties
* formation energy (no corrections): -9.5 eV per formula unit